Record 1
Compound: Pa5As5C
Source: Alexandria via LeMat-Bulk
Functional: PBE
Structure: relaxed

Results
Theoretical density   9.6 g/cm³
SG   No. 12
Size of the total moment   0.00 μB/f.u.
Formation energy   -7.8 eV per formula unit

Lattice parameters (Å, degrees): 6.9163 6.9163 7.9364 107.52 107.52 48.24
Closest atoms and distances in Å follow each position.
Fractional coordinates of all 11 atoms:
Pa 0.0000 0.0000 0.0000  2 C 2.83, 4 As 2.84-2.88
Pa 0.3469 0.3469 0.6933  1 C 2.56, 4 As 2.84-2.86
Pa 0.3482 0.3482 0.1495  1 C 2.57, 3 As 2.81-2.84
Pa 0.6518 0.6518 0.8505  1 C 2.57, 3 As 2.81-2.84
Pa 0.6531 0.6531 0.3067  1 C 2.56, 4 As 2.84-2.86
As 0.1564 0.1564 0.8128  5 Pa 2.84-2.96
As 0.1782 0.1782 0.3378  5 Pa 2.85-2.99
As 0.5000 0.5000 0.5000  4 Pa 2.81-2.84
As 0.8218 0.8218 0.6622  5 Pa 2.85-2.99
As 0.8436 0.8436 0.1872  5 Pa 2.84-2.96
C 0.5000 0.5000 0.0000  6 Pa 2.56-2.83

=====

Record 2
Compound: MnRe4Pb
Source: Alexandria via LeMat-Bulk
Functional: PBE
Structure: relaxed

Results
Theoretical density   16.1 g/cm³
SG   No. 216
Size of the total moment   3.38 μB/f.u.
Formation energy   4.4 eV per formula unit

Lattice parameters (Å, degrees): 5.2807 5.2807 5.2807 60.00 60.00 60.00
Closest atoms and distances in Å follow each position.
Fractional coordinates of all 6 atoms:
Mn 0.0000 0.0000 0.0000  12 Re 3.09, 4 Pb 3.23
Re 0.1226 0.6258 0.6258  6 Re 2.62-2.66
Re 0.6258 0.1226 0.6258  6 Re 2.62-2.66
Re 0.6258 0.6258 0.1226  6 Re 2.62-2.66
Re 0.6258 0.6258 0.6258  6 Re 2.62-2.66
Pb 0.2500 0.2500 0.2500  12 Re 3.10, 4 Mn 3.23

=====

Record 3
Compound: LuHfAlGa
Source: Alexandria via LeMat-Bulk
Functional: PBE
Structure: relaxed

Results
Theoretical density   9.3 g/cm³
SG   No. 216
Size of the total moment   0.05 μB/f.u.
Formation energy   -1.2 eV per formula unit

Lattice parameters (Å, degrees): 4.8519 4.8519 4.8519 60.00 60.00 60.00
Closest atoms and distances in Å follow each position.
Fractional coordinates of all 4 atoms:
Lu 0.0000 0.0000 0.0000  4 Al 2.97, 4 Ga 2.97
Hf 0.5000 0.5000 0.5000  4 Al 2.97, 4 Ga 2.97
Al 0.7500 0.7500 0.7500  4 Hf 2.97, 4 Lu 2.97
Ga 0.2500 0.2500 0.2500  4 Hf 2.97, 4 Lu 2.97

=====

Record 4
Compound: Ca2ScCd
Source: Alexandria via LeMat-Bulk
Functional: PBE
Structure: relaxed

Results
Theoretical density   3.3 g/cm³
SG   No. 139
Size of the total moment   0.00 μB/f.u.
Formation energy   0.2 eV per formula unit

Lattice parameters (Å, degrees): 6.0353 6.0353 6.0353 132.28 132.28 69.78
Closest atoms and distances in Å follow each position.
Fractional coordinates of all 4 atoms:
Ca 0.2500 0.7500 0.5000  4 Ca 3.45, 4 Cd 3.48, 4 Sc 3.48
Ca 0.7500 0.2500 0.5000  4 Ca 3.45, 4 Cd 3.48, 4 Sc 3.48
Sc 0.0000 0.0000 0.0000  4 Cd 3.45, 8 Ca 3.48
Cd 0.5000 0.5000 0.0000  4 Sc 3.45, 8 Ca 3.48

=====

Record 5
Compound: ErInNiAg
Source: Alexandria via LeMat-Bulk
Functional: PBE
Structure: relaxed

Results
Theoretical density   9.7 g/cm³
SG   No. 216
Size of the total moment   0.00 μB/f.u.
Formation energy   -1.2 eV per formula unit

Lattice parameters (Å, degrees): 4.7692 4.7692 4.7692 60.00 60.00 60.00
Closest atoms and distances in Å follow each position.
Fractional coordinates of all 4 atoms:
Er 0.0000 0.0000 0.0000  4 Ni 2.92, 4 Ag 2.92
In 0.5000 0.5000 0.5000  4 Ni 2.92, 4 Ag 2.92
Ni 0.7500 0.7500 0.7500  4 Er 2.92, 4 In 2.92
Ag 0.2500 0.2500 0.2500  4 In 2.92, 4 Er 2.92

=====

Record 6
Compound: AcHS2
Source: Alexandria via LeMat-Bulk
Functional: PBE
Structure: relaxed

Results
Theoretical density   4.7 g/cm³
SG   No. 14
Size of the total moment   0.00 μB/f.u.
Energy relative to the lowest polymorph listed for this composition   0.0 meV/atom

Lattice parameters (Å, degrees): 7.9169 9.3823 5.8426 90.00 107.08 90.00
Closest atoms and distances in Å follow each position.
Fractional coordinates of all 16 atoms:
Ac 0.2062 0.0825 0.3260  6 S 2.93-3.06, 1 H 3.26
Ac 0.2062 0.4175 0.8260  6 S 2.93-3.06, 1 H 3.26
Ac 0.7938 0.5825 0.1740  6 S 2.93-3.06, 1 H 3.26
Ac 0.7938 0.9175 0.6740  6 S 2.93-3.06, 1 H 3.26
H 0.4031 0.7269 0.9104  1 S 1.37
H 0.4031 0.7731 0.4104  1 S 1.37
H 0.5969 0.2269 0.5896  1 S 1.37
H 0.5969 0.2731 0.0896  1 S 1.37
S 0.0951 0.1131 0.7835  4 Ac 2.93-3.06
S 0.0951 0.3869 0.2835  4 Ac 2.93-3.06
S 0.4647 0.6437 0.7594  1 H 1.37
S 0.4647 0.8563 0.2594  1 H 1.37
S 0.5353 0.1437 0.7406  1 H 1.37
S 0.5353 0.3563 0.2406  1 H 1.37
S 0.9049 0.6131 0.7165  4 Ac 2.93-3.06
S 0.9049 0.8869 0.2165  4 Ac 2.93-3.06

=====

Record 7
Compound: NpUN2
Source: Alexandria via LeMat-Bulk
Functional: PBE
Structure: relaxed

Results
Theoretical density   14.4 g/cm³
SG   No. 59
Size of the total moment   4.96 μB/f.u.
Energy relative to the elements, uncorrected   -1.12 eV per atom

Lattice parameters (Å, degrees): 3.3298 6.0205 5.7708 90.00 90.00 90.00
Closest atoms and distances in Å follow each position.
Fractional coordinates of all 8 atoms:
Np 0.2500 0.2500 0.0799  6 N 2.48-2.49
Np 0.7500 0.7500 0.9201  6 N 2.48-2.49
U 0.2500 0.7500 0.4143  6 N 2.39-2.41
U 0.7500 0.2500 0.5857  6 N 2.39-2.41
N 0.2500 0.5009 0.7362  3 U 2.39-2.41, 3 Np 2.48-2.49
N 0.2500 0.9991 0.7362  3 U 2.39-2.41, 3 Np 2.48-2.49
N 0.7500 0.0009 0.2638  3 U 2.39-2.41, 3 Np 2.48-2.49
N 0.7500 0.4991 0.2638  3 U 2.39-2.41, 3 Np 2.48-2.49

=====

Record 8
Compound: CsTmSb2
Source: Alexandria via LeMat-Bulk
Functional: PBE
Structure: relaxed

Results
Theoretical density   5.6 g/cm³
SG   No. 166
Size of the total moment   0.00 μB/f.u.
Energy relative to the elements, uncorrected   -0.47 eV per atom

Lattice parameters (Å, degrees): 8.8053 8.8053 8.8053 31.24 31.24 31.24
Closest atoms and distances in Å follow each position.
Fractional coordinates of all 4 atoms:
Cs 0.0000 0.0000 0.0000  6 Sb 3.93
Tm 0.5000 0.5000 0.5000  6 Sb 3.06
Sb 0.2211 0.2211 0.2211  3 Tm 3.06
Sb 0.7789 0.7789 0.7789  3 Tm 3.06

=====

Record 9
Compound: Tb3Si2SnPt9
Source: Alexandria via LeMat-Bulk
Functional: PBE
Structure: relaxed

Results
Theoretical density   12.9 g/cm³
SG   No. 164
Size of the total moment   0.00 μB/f.u.
Energy relative to the elements, uncorrected   -0.80 eV per atom

Lattice parameters (Å, degrees): 5.6661 5.6661 11.1635 90.00 90.00 120.00
Closest atoms and distances in Å follow each position.
Fractional coordinates of all 15 atoms:
Tb 0.0000 0.0000 0.0000  6 Pt 2.83
Tb 0.3333 0.6667 0.5939  6 Pt 3.03
Tb 0.6667 0.3333 0.4061  6 Pt 3.03
Si 0.3333 0.6667 0.1576  6 Pt 2.37-2.40
Si 0.6667 0.3333 0.8424  6 Pt 2.37-2.40
Sn 0.0000 0.0000 0.5000  6 Pt 2.67
Pt 0.0000 0.5000 0.0000  2 Si 2.40
Pt 0.1666 0.3331 0.3106  1 Si 2.37
Pt 0.1666 0.8334 0.3106  1 Si 2.37
Pt 0.3331 0.1666 0.6894  1 Si 2.37
Pt 0.5000 0.0000 0.0000  2 Si 2.40
Pt 0.5000 0.5000 0.0000  2 Si 2.40
Pt 0.6669 0.8334 0.3106  1 Si 2.37
Pt 0.8334 0.1666 0.6894  1 Si 2.37
Pt 0.8334 0.6669 0.6894  1 Si 2.37

=====

Record 10
Compound: PmNd2Tl2Zn2
Source: Alexandria via LeMat-Bulk
Functional: PBE
Structure: relaxed

Results
Theoretical density   8.6 g/cm³
SG   No. 166
Size of the total moment   0.00 μB/f.u.
Formation energy   -1.4 eV per formula unit

Lattice parameters (Å, degrees): 9.8325 9.8325 9.8325 28.28 28.28 28.28
Closest atoms and distances in Å follow each position.
Fractional coordinates of all 7 atoms:
Pm 0.0000 0.0000 0.0000  6 Tl 3.36, 6 Zn 3.39, 2 Nd 3.61
Nd 0.1276 0.1276 0.1276  3 Zn 3.23, 3 Tl 3.26, 3 Nd 3.55, 1 Pm 3.61
Nd 0.8724 0.8724 0.8724  3 Zn 3.23, 3 Tl 3.26, 3 Nd 3.55, 1 Pm 3.61
Tl 0.2663 0.2663 0.2663  3 Zn 2.77
Tl 0.7337 0.7337 0.7337  3 Zn 2.77
Zn 0.4022 0.4022 0.4022  3 Tl 2.77
Zn 0.5978 0.5978 0.5978  3 Tl 2.77

=====

Record 11
Compound: Na5LiTl4
Source: Alexandria via LeMat-Bulk
Functional: PBE
Structure: relaxed

Results
Theoretical density   5.6 g/cm³
SG   No. 12
Size of the total moment   0.00 μB/f.u.
Formation energy   -1.1 eV per formula unit

Lattice parameters (Å, degrees): 8.7845 8.7845 6.6480 108.58 108.58 34.90
Closest atoms and distances in Å follow each position.
Fractional coordinates of all 10 atoms:
Na 0.0000 0.0000 0.0000  2 Li 3.32, 6 Na 3.39-3.45, 4 Tl 3.68
Na 0.2113 0.2113 0.3098  7 Tl 3.26-3.63, 5 Na 3.45-3.58
Na 0.3819 0.3819 0.0562  6 Tl 3.17-3.42, 2 Na 3.39
Na 0.6181 0.6181 0.9438  6 Tl 3.17-3.42, 2 Na 3.39
Na 0.7887 0.7887 0.6902  7 Tl 3.26-3.63, 5 Na 3.45-3.58
Li 0.0000 0.0000 0.5000  6 Tl 2.85-3.11
Tl 0.1742 0.1742 0.7605  1 Li 2.85, 2 Na 3.17
Tl 0.4206 0.4206 0.5956  2 Li 3.11, 1 Tl 3.31, 4 Na 3.34-3.42
Tl 0.5794 0.5794 0.4044  2 Li 3.11, 1 Tl 3.31, 4 Na 3.34-3.42
Tl 0.8258 0.8258 0.2395  1 Li 2.85, 2 Na 3.17